Version A
First-principles (GGA-PBE) data for a geometry-optimized PmHoRuRh structure, as listed in the Alexandria database.

Lattice parameters (Å, degrees): 4.8807 4.8807 4.8807 60.00 60.00 60.00
With the nearest neighbours (Å) after each atom.
Fractional positions:
Ru  0.7500  0.7500  0.7500  4 Ho 2.99, 4 Pm 2.99
Rh  0.2500  0.2500  0.2500  4 Ho 2.99, 4 Pm 2.99
Ho  0.5000  0.5000  0.5000  4 Rh 2.99, 4 Ru 2.99
Pm  0.0000  0.0000  0.0000  4 Ru 2.99, 4 Rh 2.99

Computed properties:
DOS at the Fermi energy: 0.66 states/eV per atom
magnetization: 0.000 μB per atom
volume: 20.55 Å³/atom

=====

Version B
First-principles (GGA-PBE) data for a geometry-optimized PmHoRuRh structure, as listed in the Alexandria database.

Lattice parameters (Å, degrees): 3.4490 3.4490 6.8877 90.00 90.00 90.00
With the nearest neighbours (Å) after each atom.
Fractional positions:
Pm  0.5000  0.5000  0.1114  4 Ru 3.00, 4 Rh 3.04
Ho  0.5000  0.5000  0.6039  4 Ru 2.94, 4 Rh 2.96
Ru  0.0000  0.0000  0.3647  4 Ho 2.94, 4 Pm 3.00
Rh  0.0000  0.0000  0.8479  4 Ho 2.96, 4 Pm 3.04

Computed properties:
DOS at the Fermi energy: 0.42 states/eV per atom
magnetization: 0.000 μB per atom
volume: 20.48 Å³/atom

=====

Preferred: version B; penalty for the next structure: 0.019 eV/atom.

=====

Version A
First-principles (GGA-PBE) data for a geometry-optimized PmHoSiRh structure, as listed in the Alexandria database.

Lattice parameters (Å, degrees): 4.9773 4.9773 4.9773 60.00 60.00 60.00
With the nearest neighbours (Å) after each atom.
Fractional positions:
Si  0.7500  0.7500  0.7500  4 Pm 3.05, 4 Ho 3.05
Rh  0.2500  0.2500  0.2500  4 Ho 3.05, 4 Pm 3.05
Ho  0.0000  0.0000  0.0000  4 Rh 3.05, 4 Si 3.05
Pm  0.5000  0.5000  0.5000  4 Si 3.05, 4 Rh 3.05

Computed properties:
DOS at the Fermi energy: 0.50 states/eV per atom
magnetization: 0.000 μB per atom
volume: 21.80 Å³/atom

=====

Version B
First-principles (GGA-PBE) data for a geometry-optimized PmHoSiRh structure, as listed in the Alexandria database.

Lattice parameters (Å, degrees): 4.2075 4.0672 5.6789 90.00 111.74 90.00
With the nearest neighbours (Å) after each atom.
Fractional positions:
Pm  0.1455  0.0000  0.2911  3 Rh 2.95-3.14, 4 Si 3.04
Ho  0.8634  0.5000  0.7269  4 Rh 3.00, 3 Si 3.00-3.14
Si  0.5660  0.5000  0.1320  2 Rh 2.52
Rh  0.4250  0.0000  0.8500  2 Si 2.52

Computed properties:
DOS at the Fermi energy: 0.81 states/eV per atom
magnetization: 0.000 μB per atom
volume: 22.57 Å³/atom

=====

Preferred: version B; penalty for the next structure: 0.204 eV/atom.

=====

Version A
First-principles (GGA-PBE) data for a geometry-optimized PmHoTlRh structure, as listed in the Alexandria database.

Lattice parameters (Å, degrees): 3.5291 3.5291 7.8843 90.00 90.00 90.00
With the nearest neighbours (Å) after each atom.
Fractional positions:
Pm  0.5000  0.5000  0.7855  4 Rh 3.08, 1 Ho 3.35, 4 Tl 3.42
Ho  0.5000  0.5000  0.3606  4 Rh 2.93
Tl  0.0000  0.0000  0.0825  4 Ho 3.32, 4 Pm 3.42, 4 Tl 3.53
Rh  0.0000  0.0000  0.5562  4 Ho 2.93, 4 Pm 3.08

Computed properties:
DOS at the Fermi energy: 0.85 states/eV per atom
magnetization: 0.000 μB per atom
volume: 24.55 Å³/atom

=====

Version B
First-principles (GGA-PBE) data for a geometry-optimized PmHoTlRh structure, as listed in the Alexandria database.

Lattice parameters (Å, degrees): 5.1728 5.1728 5.1728 60.00 60.00 60.00
With the nearest neighbours (Å) after each atom.
Fractional positions:
Tl  0.5000  0.5000  0.5000  4 Ho 3.17, 4 Pm 3.17
Rh  0.0000  0.0000  0.0000  4 Ho 3.17, 4 Pm 3.17
Ho  0.7500  0.7500  0.7500  4 Tl 3.17, 4 Rh 3.17
Pm  0.2500  0.2500  0.2500  4 Tl 3.17, 4 Rh 3.17

Computed properties:
DOS at the Fermi energy: 0.69 states/eV per atom
magnetization: 0.000 μB per atom
volume: 24.47 Å³/atom

=====

Preferred: version A; penalty for the next structure: 0.128 eV/atom.

=====

Version A
First-principles (GGA-PBE) data for a geometry-optimized PmHoZnRh structure, as listed in the Alexandria database.

Lattice parameters (Å, degrees): 4.9936 4.9936 4.9936 60.00 60.00 60.00
With the nearest neighbours (Å) after each atom.
Fractional positions:
Zn  0.0000  0.0000  0.0000  4 Ho 3.06, 4 Pm 3.06
Rh  0.5000  0.5000  0.5000  4 Pm 3.06, 4 Ho 3.06
Ho  0.7500  0.7500  0.7500  4 Rh 3.06, 4 Zn 3.06
Pm  0.2500  0.2500  0.2500  4 Rh 3.06, 4 Zn 3.06

Computed properties:
DOS at the Fermi energy: 0.53 states/eV per atom
magnetization: 0.000 μB per atom
volume: 22.01 Å³/atom

=====

Version B
First-principles (GGA-PBE) data for a geometry-optimized PmHoZnRh structure, as listed in the Alexandria database.

Lattice parameters (Å, degrees): 3.9093 4.4029 5.6944 90.00 110.08 90.00
With the nearest neighbours (Å) after each atom.
Fractional positions:
Pm  0.1429  0.0000  0.2857  3 Rh 3.01-3.05, 4 Zn 3.04
Ho  0.8627  0.5000  0.7254  3 Zn 2.96-3.12, 4 Rh 3.02
Zn  0.5706  0.5000  0.1411  2 Rh 2.70, 2 Ho 2.96
Rh  0.4239  0.0000  0.8477  2 Zn 2.70, 1 Pm 3.01, 4 Ho 3.02

Computed properties:
DOS at the Fermi energy: 0.75 states/eV per atom
magnetization: 0.000 μB per atom
volume: 23.01 Å³/atom

=====

Preferred: version B; penalty for the next structure: 0.012 eV/atom.

=====

Version A
First-principles (GGA-PBE) data for a geometry-optimized PmHo3Ru2 structure, as listed in the Alexandria database.

Lattice parameters (Å, degrees): 3.4102 3.4102 12.4017 90.00 90.00 90.00
With the nearest neighbours (Å) after each atom.
Fractional positions:
Pm  0.5000  0.5000  0.5000  4 Pm 3.41, 8 Ho 3.75
Ho  0.0000  0.0000  0.0000  8 Ru 2.99, 2 Ho 3.33
Ho  0.0000  0.0000  0.7313  4 Ru 2.88
Ho  0.0000  0.0000  0.2687  4 Ru 2.88
Ru  0.5000  0.5000  0.8581  8 Ho 2.88-2.99
Ru  0.5000  0.5000  0.1419  8 Ho 2.88-2.99

Computed properties:
DOS at the Fermi energy: 0.74 states/eV per atom
magnetization: 0.000 μB per atom
volume: 24.04 Å³/atom

=====

Version B
First-principles (GGA-PBE) data for a geometry-optimized PmHo3Ru2 structure, as listed in the Alexandria database.

Lattice parameters (Å, degrees): 6.7572 7.0050 8.3341 114.85 113.92 90.00
With the nearest neighbours (Å) after each atom.
Fractional positions:
Pm  0.0000  0.5000  0.0000  2 Ru 2.62
Pm  0.0000  0.0000  0.0000  2 Ru 2.62
Ho  0.5000  0.2500  0.0000  4 Ru 2.94
Ho  0.5000  0.7500  0.0000  4 Ru 2.94
Ho  0.7615  0.0115  0.5229  4 Ru 2.88-2.93
Ho  0.2385  0.4885  0.4771  4 Ru 2.88-2.93
Ho  0.2385  0.9885  0.4771  4 Ru 2.88-2.93
Ho  0.7615  0.5115  0.5229  4 Ru 2.88-2.93
Ru  0.5875  0.3655  0.7311  1 Pm 2.62, 2 Ho 2.88
Ru  0.8564  0.1345  0.2689  1 Pm 2.62, 2 Ho 2.88
Ru  0.1436  0.8655  0.7311  1 Pm 2.62, 2 Ho 2.88
Ru  0.4125  0.6345  0.2689  1 Pm 2.62, 2 Ho 2.88

Computed properties:
DOS at the Fermi energy: 0.43 states/eV per atom
magnetization: 0.000 μB per atom
volume: 26.69 Å³/atom

=====

Preferred: version A; penalty for the next structure: 0.078 eV/atom.

=====

Version A
First-principles (GGA-PBE) data for a geometry-optimized PmHoRu structure, as listed in the Alexandria database.

Lattice parameters (Å, degrees): 4.8253 4.8253 4.8253 60.00 60.00 60.00
With the nearest neighbours (Å) after each atom.
Fractional positions:
Ru  0.2500  0.2500  0.2500  4 Ho 2.95, 4 Pm 2.95
Ho  0.5000  0.5000  0.5000  4 Ru 2.95
Pm  0.0000  0.0000  0.0000  4 Ru 2.95

Computed properties:
DOS at the Fermi energy: 0.68 states/eV per atom
magnetization: 0.000 μB per atom
volume: 26.48 Å³/atom

=====

Version B
First-principles (GGA-PBE) data for a geometry-optimized PmHoRu structure, as listed in the Alexandria database.

Lattice parameters (Å, degrees): 3.4342 6.8509 7.0698 104.26 104.11 89.98
With the nearest neighbours (Å) after each atom.
Fractional positions:
Pm  0.3109  0.4854  0.3873  4 Ru 2.98-2.99
Pm  0.5669  0.6185  0.9016  4 Ru 2.98-2.99
Ho  0.5626  0.1130  0.8914  4 Ru 2.90-2.91
Ho  0.3152  0.9910  0.3975  4 Ru 2.90-2.91
Ru  0.9400  0.2969  0.6465  4 Ho 2.90-2.91, 4 Pm 2.98-2.99
Ru  0.9379  0.8070  0.6423  4 Ho 2.90-2.91, 4 Pm 2.98-2.99

Computed properties:
DOS at the Fermi energy: 0.58 states/eV per atom
magnetization: 0.000 μB per atom
volume: 26.01 Å³/atom

=====

Preferred: version B; penalty for the next structure: 0.039 eV/atom.

=====

Version A
First-principles (GGA-PBE) data for a geometry-optimized PmHoRu structure, as listed in the Alexandria database.

Lattice parameters (Å, degrees): 3.4308 3.4308 7.0452 104.09 104.09 90.00
With the nearest neighbours (Å) after each atom.
Fractional positions:
Ru  0.9460  0.9460  0.8920  4 Ho 2.90, 4 Pm 2.99
Ho  0.3258  0.3258  0.6515  4 Ru 2.90
Pm  0.5782  0.5782  0.1565  4 Ru 2.99, 1 Ho 3.34

Computed properties:
DOS at the Fermi energy: 0.54 states/eV per atom
magnetization: 0.000 μB per atom
volume: 25.95 Å³/atom

=====

Version B
First-principles (GGA-PBE) data for a geometry-optimized PmHoRu structure, as listed in the Alexandria database.

Lattice parameters (Å, degrees): 3.6644 4.7394 4.7394 120.00 90.00 90.00
With the nearest neighbours (Å) after each atom.
Fractional positions:
Ru  0.3556  0.3333  0.6667  3 Ho 2.87, 3 Pm 2.96
Ho  0.5961  0.6667  0.3333  3 Ru 2.87, 3 Pm 3.20
Pm  0.0483  0.0000  0.0000  3 Ru 2.96, 3 Ho 3.20

Computed properties:
DOS at the Fermi energy: 0.62 states/eV per atom
magnetization: 0.000 μB per atom
volume: 23.76 Å³/atom

=====

Version C
First-principles (GGA-PBE) data for a geometry-optimized PmHoRu structure, as listed in the Alexandria database.

Lattice parameters (Å, degrees): 3.5278 5.2919 8.1893 90.00 102.44 90.00
With the nearest neighbours (Å) after each atom.
Fractional positions:
Pm  0.9282  0.2500  0.8565  6 Ru 2.96-3.18
Pm  0.0718  0.7500  0.1435  6 Ru 2.96-3.18
Ho  0.2107  0.2500  0.4214  2 Ru 2.77
Ho  0.7893  0.7500  0.5786  2 Ru 2.77
Ru  0.5768  0.2500  0.1537  2 Ho 2.77, 2 Pm 2.96
Ru  0.4232  0.7500  0.8463  2 Ho 2.77, 2 Pm 2.96

Computed properties:
DOS at the Fermi energy: 0.91 states/eV per atom
magnetization: 0.000 μB per atom
volume: 24.88 Å³/atom

=====

Preferred: version A; penalty for the next structure: 0.094 eV/atom.

=====

Version A
First-principles (GGA-PBE) data for a geometry-optimized PmHo2Ru2 structure, as listed in the Alexandria database.

Lattice parameters (Å, degrees): 3.4013 3.4161 10.4516 80.59 90.00 90.00
With the nearest neighbours (Å) after each atom.
Fractional positions:
Pm  0.0000  0.0000  0.0000  8 Ru 3.06, 4 Pm 3.40-3.42
Ho  0.0000  0.1663  0.6674  4 Ru 2.86
Ho  0.0000  0.8337  0.3326  4 Ru 2.86
Ru  0.5000  0.4085  0.1831  4 Ho 2.86, 4 Pm 3.06
Ru  0.5000  0.5915  0.8169  4 Ho 2.86, 4 Pm 3.06

Computed properties:
DOS at the Fermi energy: 0.52 states/eV per atom
magnetization: 0.000 μB per atom
volume: 23.96 Å³/atom

=====

Version B
First-principles (GGA-PBE) data for a geometry-optimized PmHo2Ru2 structure, as listed in the Alexandria database.

Lattice parameters (Å, degrees): 4.3817 5.2828 11.5543 108.58 90.00 90.00
With the nearest neighbours (Å) after each atom.
Fractional positions:
Pm  0.2500  0.7778  0.2383  5 Ru 2.94-3.29
Pm  0.7500  0.2222  0.7617  5 Ru 2.94-3.29
Ho  0.2500  0.8159  0.8777  5 Ru 2.84-3.11
Ho  0.7500  0.1841  0.1223  5 Ru 2.84-3.11
Ho  0.2500  0.2732  0.5206  4 Ru 2.81-2.99
Ho  0.7500  0.7268  0.4794  4 Ru 2.81-2.99
Ru  0.2500  0.8651  0.6398  5 Ho 2.81-2.99, 2 Pm 2.94
Ru  0.7500  0.1349  0.3602  5 Ho 2.81-2.99, 2 Pm 2.94
Ru  0.2500  0.3966  0.9858  2 Ru 2.42
Ru  0.7500  0.6034  0.0142  2 Ru 2.42

Computed properties:
DOS at the Fermi energy: 0.80 states/eV per atom
magnetization: 0.000 μB per atom
volume: 25.35 Å³/atom

=====

Preferred: version A; penalty for the next structure: 0.067 eV/atom.